## Tl3Sn2SbTe6 (PBE)

Data for crystalline Tl3Sn2SbTe6 at its relaxed geometry.

Properties
V	33.8	Å³/atom
energy relative to the elements, uncorrected	-0.242	eV/atom

Cell: 7.685 13.311 8.348 Å, 90.00 107.94 90.00°
Space group C2/m (No. 12)
Unique sites:
Tl 0.000 0.000 0.000 (multiplicity 2)
Tl 0.000 0.333 0.000 (multiplicity 4)
Sn 0.000 0.166 0.500 (multiplicity 4)
Sb 0.000 0.500 0.500 (multiplicity 2)
Te 0.241 0.334 0.723 (multiplicity 8)
Te 0.243 0.000 0.724 (multiplicity 4)

***

## Tl3In2Sn4 (PBE)

Data for crystalline Tl3In2Sn4 at its relaxed geometry.

Properties
V	28.8	Å³/atom
distance to the lowest polymorph of the same formula	0.0	meV/atom
E_form	0.026	eV/atom

Cell: 4.937 7.631 7.695 Å, 108.19 108.30 90.49°
Space group P-1 (No. 2)
Unique sites:
Tl 0.000 0.000 0.000 (multiplicity 1)
Tl 0.444 0.666 0.889 (multiplicity 2)
In 0.224 0.335 0.445 (multiplicity 2)
Sn 0.124 0.678 0.247 (multiplicity 2)
Sn 0.325 0.004 0.657 (multiplicity 2)

***

## AlFeCoB (PBE)

Data for crystalline AlFeCoB at its relaxed geometry.

Properties
V	9.6	Å³/atom
E_form	-0.069	eV/atom

Cell: 5.357 5.357 5.357 Å, 90.00 90.00 90.00°
Space group F-43m (No. 216)
Unique sites:
Al 0.000 0.000 0.000 (multiplicity 4)
Fe 0.250 0.250 0.750 (multiplicity 4)
Co 0.250 0.250 0.250 (multiplicity 4)
B 0.000 0.000 0.500 (multiplicity 4)

***

## BaCoTe (PBE)

Data for crystalline BaCoTe at its relaxed geometry.

Properties
V	29.1	Å³/atom
distance to the lowest polymorph of the same formula	98.7	meV/atom
energy relative to the elements, uncorrected	-0.456	eV/atom

Cell: 11.425 4.429 6.890 Å, 90.00 90.00 90.00°
Space group Pnma (No. 62)
Unique sites:
Ba 0.074 0.250 0.230 (multiplicity 4)
Co 0.199 0.750 0.933 (multiplicity 4)
Te 0.178 0.250 0.743 (multiplicity 4)

***

## TaCu2GeH (PBE)

Data for crystalline TaCu2GeH at its relaxed geometry.

Properties
V	12.0	Å³/atom
calculated total energy	-5.596	eV per atom

Cell: 3.829 3.829 4.076 Å, 90.00 90.00 90.00°
Space group P4/mmm (No. 123)
Unique sites:
Ta 0.000 0.000 0.000 (multiplicity 1)
Cu 0.000 0.500 0.500 (multiplicity 2)
Ge 0.500 0.500 0.000 (multiplicity 1)
H 0.000 0.000 0.500 (multiplicity 1)

***

## Rb3Nd3SnSe8 (PBE)

Data for crystalline Rb3Nd3SnSe8 at its relaxed geometry.

Properties
V	34.8	Å³/atom
energy relative to the elements, uncorrected	-1.426	eV/atom

Cell: 8.5670 8.5670 24.6302 Å, 90.00 90.00 120.00°
Space group R-3m (No. 166, hexagonal axes)
Unique sites:
Rb 0.0000 0.5000 0.0000 (multiplicity 9)
Nd 0.0000 0.5000 0.5000 (multiplicity 9)
Sn 0.0000 0.0000 0.5000 (multiplicity 3)
Se 0.0000 0.0000 0.2332 (multiplicity 6)
Se 0.0213 0.5106 0.2305 (multiplicity 18)

***

## LiAc2Bi3Pd6 (PBE)

Data for crystalline LiAc2Bi3Pd6 at its relaxed geometry.

Properties
V	24.5	Å³/atom
E_form	-0.548	eV/atom

Cell: 4.255 4.255 16.243 Å, 90.00 90.00 90.00°
Space group P4/mmm (No. 123)
Unique sites:
Li 0.000 0.000 0.000 (multiplicity 1)
Ac 0.000 0.000 0.360 (multiplicity 2)
Bi 0.500 0.500 0.102 (multiplicity 2)
Bi 0.500 0.500 0.500 (multiplicity 1)
Pd 0.000 0.500 0.212 (multiplicity 4)
Pd 0.500 0.500 0.326 (multiplicity 2)

***

## RbLa3Ga (PBE)

Data for crystalline RbLa3Ga at its relaxed geometry.

Properties
V	46.0	Å³/atom
distance to the lowest polymorph of the same formula	0.0	meV/atom
E_form	0.184	eV/atom

Cell: 6.127 6.127 6.127 Å, 90.00 90.00 90.00°
Space group Pm-3m (No. 221)
Unique sites:
Rb 0.000 0.000 0.000 (multiplicity 1)
La 0.000 0.500 0.500 (multiplicity 3)
Ga 0.500 0.500 0.500 (multiplicity 1)

***

## CsHgCl3 (PBE)

Data for crystalline CsHgCl3 at its relaxed geometry.

Properties
V	33.1	Å³/atom
distance to the lowest polymorph of the same formula	16.6	meV/atom
energy relative to the elements, uncorrected	-1.180	eV/atom

Cell: 7.798 7.798 10.889 Å, 90.00 90.00 90.00°
Space group I4/mmm (No. 139)
Unique sites:
Cs 0.000 0.500 0.250 (multiplicity 4)
Hg 0.000 0.000 0.000 (multiplicity 2)
Hg 0.000 0.000 0.500 (multiplicity 2)
Cl 0.000 0.000 0.223 (multiplicity 4)
Cl 0.236 0.236 0.500 (multiplicity 8)

***

## PtAuI6Cl2 (PBE)

Data for crystalline PtAuI6Cl2 at its relaxed geometry.

Properties
V	44.8	Å³/atom
energy relative to the elements, uncorrected	-0.012	eV/atom

Cell: 9.387 6.715 15.975 Å, 90.00 117.16 90.00°
Space group P2_1/c (No. 14)
Unique sites:
Pt 0.000 0.000 0.000 (multiplicity 2)
Au 0.500 0.000 0.500 (multiplicity 2)
I 0.059 0.197 0.414 (multiplicity 4)
I 0.183 0.028 0.179 (multiplicity 4)
I 0.358 0.667 0.485 (multiplicity 4)
Cl 0.351 0.178 0.708 (multiplicity 4)

***

## Mn2AlHg (PBE)

Data for crystalline Mn2AlHg at its relaxed geometry.

Properties
V	16.2	Å³/atom
distance to the lowest polymorph of the same formula	103.6	meV/atom
E_form	0.207	eV/atom

Cell: 9.683 3.050 4.603 Å, 90.00 107.49 90.00°
Space group Cm (No. 8)
Unique sites:
Mn 0.000 0.000 0.000 (multiplicity 2)
Mn 0.244 0.500 0.216 (multiplicity 2)
Al 0.257 0.000 0.748 (multiplicity 2)
Hg 0.002 0.500 0.498 (multiplicity 2)